A plane-wave DFT calculation with PBE was carried out for BaHg2BiAu after structural relaxation.

Cell and atoms, written as CIF:
```
data_BaHg2BiAu
_cell_length_a 5.3696
_cell_length_b 5.3696
_cell_length_c 5.9344
_cell_angle_alpha 90.00
_cell_angle_beta 90.00
_cell_angle_gamma 90.00
_space_group_name_H-M_alt 'P 4/m m m'
_space_group_IT_number 123
_space_group_name_Hall '-P 4 2'
loop_
_atom_site_label
_atom_site_fract_x
_atom_site_fract_y
_atom_site_fract_z
Ba1 0.0000 0.0000 0.0000
Hg1 0.0000 0.5000 0.5000
Bi1 0.5000 0.5000 0.0000
Au1 0.5000 0.5000 0.5000
```

Values from the calculation:
Distance to the lowest polymorph of the same formula: 158 meV/atom
Crystal system: tetragonal